1.
# CeMgGaPb

Crystalline CeMgGaPb at its relaxed geometry (PBE, the Alexandria database).

Geometry as POSCAR:
```
CeMgGaPb
1.0
-3.435 -2.787 -0.027
2.715 -3.328 -1.812
1.152 -1.461 4.409
Pb Mg Ce Ga
1 1 1 1
Cartesian
1.933 -2.395 1.298
-1.142 -2.124 2.191
-0.360 -3.058 -0.919
0.000 0.000 0.000
```

Summary:
- Energy relative to the lowest polymorph listed for this composition: 0 meV per atom
- D(E_F): 6.20 states/eV/cell
- Crystal system: orthorhombic
- ΔH_f (0 K): -0.350 eV/atom

2.
# CeMgGaPb

Crystalline CeMgGaPb at its relaxed geometry (PBE, the Alexandria database).

Geometry as POSCAR:
```
CeMgGaPb
1.0
-1.206 -4.477 2.346
3.357 -3.966 -0.088
2.476 -1.405 4.347
Pb Ce Mg Ga
1 1 1 1
Cartesian
0.000 0.000 0.000
3.471 -7.386 4.954
1.157 -2.462 1.651
2.314 -4.924 3.303
```

Summary:
- Energy relative to the lowest polymorph listed for this composition: 70 meV per atom
- D(E_F): 4.42 states/eV/cell
- Crystal system: cubic
- ΔH_f (0 K): -0.280 eV/atom

3.
# CeMgGa2Pd2

Crystalline CeMgGa2Pd2 at its relaxed geometry (PBE, the Alexandria database).

Geometry as POSCAR:
```
CeMgGa2Pd2
1.0
-2.938 -2.879 1.541
3.644 -1.433 -1.992
3.269 -0.097 6.050
Mg Ce Ga Pd
1 1 2 2
Cartesian
1.634 -0.049 3.025
0.000 0.000 0.000
2.316 -1.941 0.789
1.658 -2.469 4.810
3.594 -1.979 3.154
0.380 -2.431 2.445
```

Summary:
- D(E_F): 7.02 states/eV/cell
- Crystal system: trigonal
- ΔH_f (0 K): -0.691 eV/atom

4.
# CeMgGaPd

Crystalline CeMgGaPd at its relaxed geometry (PBE, the Alexandria database).

Geometry as POSCAR:
```
CeMgGaPd
1.0
4.065 0.000 0.000
0.000 4.065 0.000
0.000 0.000 10.512
Ce Pd Mg Ga
2 2 2 2
Cartesian
0.000 2.033 8.404
2.033 0.000 2.107
0.000 2.033 0.799
2.033 0.000 9.713
0.000 0.000 5.256
2.033 2.033 5.256
0.000 2.033 3.379
2.033 0.000 7.133
```

Summary:
- Energy relative to the lowest polymorph listed for this composition: 132 meV per atom
- D(E_F): 12.51 states/eV/cell
- Crystal system: tetragonal
- ΔH_f (0 K): -0.417 eV/atom